Cs3ZnGe4 | PBE | optimized geometry

Lattice parameters (Å, degrees): 7.342 13.609 5.923 90.00 90.00 90.00
Fractional positions:
Cs: 0.250 0.016 0.166
Cs: 0.250 0.250 0.581
Cs: 0.250 0.484 0.166
Cs: 0.750 0.516 0.834
Cs: 0.750 0.750 0.419
Cs: 0.750 0.984 0.834
Zn: 0.250 0.750 0.306
Zn: 0.750 0.250 0.694
Ge: 0.066 0.750 0.931
Ge: 0.250 0.640 0.659
Ge: 0.250 0.860 0.659
Ge: 0.434 0.750 0.931
Ge: 0.566 0.250 0.069
Ge: 0.750 0.140 0.341
Ge: 0.750 0.360 0.341
Ge: 0.934 0.250 0.069

Output
As for the energy relative to the elements: -141 kJ/mol of formula units. For the density, the calculation gives 4.2 g cm⁻³. The volume is 591.8 Å³/cell. The calculation puts the density of states at the Fermi level at 0.32 states/eV per atom.

***

MgNiMo | PBE | optimized geometry

Lattice parameters (Å, degrees): 4.211 4.211 4.211 60.00 60.00 60.00
Fractional positions:
Mg: 0.000 0.000 0.000
Ni: 0.250 0.250 0.250
Mo: 0.750 0.750 0.750

Output
The calculation puts the distance to the lowest polymorph of the same formula at 1.276 eV/atom. As for the energy relative to the elements: 372 kJ/mol of formula units. For the density, the calculation gives 5.6 g cm⁻³. The volume is 52.8 Å³/cell. The calculation puts the density of states at the Fermi level at 1.48 states/eV per atom.

***

Pm8Tl2Ag | PBE | optimized geometry

Lattice parameters (Å, degrees): 9.599 9.599 6.912 93.33 93.33 32.72
Fractional positions:
Pm: 0.031 0.031 0.261
Pm: 0.211 0.211 0.100
Pm: 0.332 0.332 0.595
Pm: 0.409 0.409 0.089
Pm: 0.591 0.591 0.911
Pm: 0.668 0.668 0.405
Pm: 0.789 0.789 0.900
Pm: 0.969 0.969 0.739
Tl: 0.155 0.155 0.653
Tl: 0.845 0.845 0.347
Ag: 0.500 0.500 0.500

Output
The calculation puts the distance to the lowest polymorph of the same formula at 0.000 eV/atom. As for the energy relative to the elements: -189 kJ/mol of formula units. For the density, the calculation gives 8.1 g cm⁻³. The volume is 343.6 Å³/cell. The calculation puts the density of states at the Fermi level at 1.19 states/eV per atom.

***

Gd2HoRu | PBE | optimized geometry

Lattice parameters (Å, degrees): 3.448 3.448 8.948 90.00 90.00 90.00
Fractional positions:
Gd: 0.000 0.000 0.187
Gd: 0.000 0.000 0.813
Ho: 0.500 0.500 0.500
Ru: 0.500 0.500 0.000

Output
The calculation puts the distance to the lowest polymorph of the same formula at 0.000 eV/atom. As for the energy relative to the elements: -56 kJ/mol of formula units. For the density, the calculation gives 9.1 g cm⁻³. The volume is 106.4 Å³/cell. The calculation puts the density of states at the Fermi level at 1.15 states/eV per atom.

***

> Among the records above, which one has the lowest volume?

MgNiMo

***

> Which value of volume does entry 2 give?

52.8 Å³/cell

***

> Among the records above, which one has the lowest volume?

MgNiMo